Density functional theory data (PBE) for a relaxed structure of Ca2Ho.

POSCAR file:
```
Ca2Ho
1.0
3.7326 0.0000 0.0000
0.0000 3.7326 0.0000
-1.8663 -1.8663 8.1281
Ca Ho
2 1
Cartesian
1.8663 1.8663 2.5898
0.0000 0.0000 5.5384
0.0000 0.0000 0.0000
```

Results
**Distance to the lowest polymorph of the same formula**: 0.00 kJ/mol of atoms
**V**: 113 Å³ per cell
**ΔH_f (0 K)**: 2.86 kcal/mol of atoms